# 1
Entry from Alexandria via LeMat-Bulk: a geometry-optimized CuNiOs2 structure (GGA-PBE).

Unit cell a=4.1652 b=4.1652 c=4.1652 alpha=60.00 beta=60.00 gamma=60.00
Closest atoms and distances in Å follow each position.
Element x y z (fractional)
Cu  0.0000  0.0000  0.0000  8 Os 2.55
Ni  0.5000  0.5000  0.5000  8 Os 2.55
Os  0.7500  0.7500  0.7500  4 Ni 2.55, 4 Cu 2.55
Os  0.2500  0.2500  0.2500  4 Ni 2.55, 4 Cu 2.55

Summary:
Fermi-level density of states: 2.37 states/eV/cell
Energy: -7.64 eV/atom
ΔH_f (0 K): 0.446 eV/atom
Space-group type: Fm-3m
V: 51.1 Å³/f.u.

# 2
Entry from Alexandria via LeMat-Bulk: a geometry-optimized CuNiOs2 structure (GGA-PBE).

Unit cell a=4.6081 b=4.6081 c=4.6081 alpha=132.59 beta=132.59 gamma=69.29
Closest atoms and distances in Å follow each position.
Element x y z (fractional)
Cu  0.2500  0.7500  0.5000  4 Ni 2.62, 8 Os 2.65
Ni  0.7500  0.2500  0.5000  4 Cu 2.62, 8 Os 2.65
Os  0.0000  0.0000  0.0000  4 Os 2.62, 4 Ni 2.65, 4 Cu 2.65
Os  0.5000  0.5000  0.0000  4 Os 2.62, 4 Cu 2.65, 4 Ni 2.65

Summary:
Fermi-level density of states: 5.15 states/eV/cell
Energy: -7.70 eV/atom
ΔH_f (0 K): 0.383 eV/atom
Space-group type: I4/mmm
V: 52.0 Å³/f.u.